Entry 1:
# Hf8Ti3Pb3, optimized geometry, DFT GGA-PBE
data_Hf8Ti3Pb3
_chemical_formula_sum 'Hf8 Ti3 Pb3'
_cell_length_a 3.1125
_cell_length_b 10.2877
_cell_length_c 10.2877
_cell_angle_alpha 89.25
_cell_angle_beta 81.30
_cell_angle_gamma 81.30
_symmetry_space_group_name_H-M 'P 1'
_symmetry_Int_Tables_number 1
loop_
_symmetry_equiv_pos_as_xyz
'x,y,z'
loop_
_atom_site_label
_atom_site_fract_x
_atom_site_fract_y
_atom_site_fract_z
Ti1 0.0000 0.8239 0.1761
Hf1 0.1106 0.2346 0.5443
Pb1 0.2240 0.7760 0.7760
Hf2 0.3201 0.9987 0.3610
Hf3 0.6799 0.6390 0.0013
Pb2 0.7760 0.2240 0.2240
Hf4 0.8894 0.4557 0.7654
Hf5 0.1106 0.5443 0.2346
Hf6 0.6799 0.0013 0.6390
Ti2 0.5000 0.0000 0.0000
Pb3 0.5000 0.5000 0.5000
Ti3 0.0000 0.1761 0.8239
Hf7 0.8894 0.7654 0.4557
Hf8 0.3201 0.3610 0.9987
# Calculated formation energy = 14.6 kJ per mole of atoms
# Calculated volume = 23.0 A^3/atom
# Magnetization = 0.000 μB per cell

Entry 2:
# K3CaP2O8, optimized geometry, DFT GGA-PBE
data_K3CaP2O8
_chemical_formula_sum 'K3 Ca1 P2 O8'
_cell_length_a 5.8012
_cell_length_b 5.8012
_cell_length_c 7.5970
_cell_angle_alpha 89.58
_cell_angle_beta 89.58
_cell_angle_gamma 59.88
_symmetry_space_group_name_H-M 'P 1'
_symmetry_Int_Tables_number 1
loop_
_symmetry_equiv_pos_as_xyz
'x,y,z'
loop_
_atom_site_label
_atom_site_fract_x
_atom_site_fract_y
_atom_site_fract_z
O1 0.3387 0.3387 0.0464
P1 0.6662 0.6662 0.7504
Ca1 0.0000 0.0000 0.5000
O2 0.6242 0.1855 0.3209
O3 0.6613 0.6613 0.9536
P2 0.3338 0.3338 0.2496
O4 0.1855 0.6242 0.3209
O5 0.8141 0.8141 0.6876
O6 0.8145 0.3758 0.6791
K1 0.0000 0.0000 0.0000
O7 0.3758 0.8145 0.6791
O8 0.1859 0.1859 0.3124
K2 0.3341 0.3341 0.7014
K3 0.6659 0.6659 0.2986
# Formation energy from raw total energies = -3174 kJ/mol of formula units
# Calculated volume = 15.8 A^3/atom
# Magnetization = 1.094 μB per cell

Entry 3:
# InGeI2O, optimized geometry, DFT GGA-PBE
data_InGeI2O
_chemical_formula_sum 'In1 Ge1 I2 O1'
_cell_length_a 6.1214
_cell_length_b 3.7998
_cell_length_c 6.1214
_cell_angle_alpha 90.00
_cell_angle_beta 90.00
_cell_angle_gamma 90.00
_symmetry_space_group_name_H-M 'P 1'
_symmetry_Int_Tables_number 1
loop_
_symmetry_equiv_pos_as_xyz
'x,y,z'
loop_
_atom_site_label
_atom_site_fract_x
_atom_site_fract_y
_atom_site_fract_z
O1 0.0000 0.5000 0.0000
In1 0.5000 0.5000 0.5000
I1 0.5000 0.0000 0.0000
Ge1 0.0000 0.0000 0.0000
I2 0.0000 0.0000 0.5000
# Relative energy among the computed polymorphs = 0.0 meV per atom
# Formation energy from raw total energies = -206 kJ/mol of formula units
# Calculated volume = 28.5 A^3/atom
# Magnetization = 0.000 μB per cell